[1]
SbAsP2 | GGA-PBE | relaxed

a = 3.6679 Å, b = 4.4751 Å, c = 6.1205 Å
α = 65.42°, β = 90.00°, γ = 90.00°
Atoms (fractional coordinates):
As 0.5000 0.7332 0.7342
P 0.0000 0.9873 0.1047
P 0.5000 0.2912 0.1299
Sb 0.0000 0.4882 0.5312

Summary:
space-group type = Pm (6)
size of the total moment = 0.00 μB/f.u.
uncorrected formation energy = 0.149 eV per atom
relative energy among the computed polymorphs = 62.9 meV per atom

=====

[2]
HfHC2Se | GGA-PBE | relaxed

a = 4.0680 Å, b = 3.2804 Å, c = 4.0680 Å
α = 90.00°, β = 90.00°, γ = 90.00°
Atoms (fractional coordinates):
H 0.0000 0.5000 0.0000
C 0.0000 0.0000 0.5000
C 0.5000 0.0000 0.0000
Hf 0.5000 0.5000 0.5000
Se 0.0000 0.0000 0.0000

Summary:
space-group type = P4/mmm (123)
DFT total energy = -5.8563 eV per atom
size of the total moment = 0.00 μB/f.u.

=====

[3]
TlNiHg2 | GGA-PBE | relaxed

a = 7.2380 Å, b = 7.2380 Å, c = 4.4734 Å
α = 71.97°, β = 71.97°, γ = 24.37°
Atoms (fractional coordinates):
Hg 0.0015 0.0015 0.9985
Hg 0.1739 0.1739 0.3266
Ni 0.5027 0.5027 0.4973
Tl 0.8219 0.8219 0.6777

Summary:
space-group type = Imm2 (44)
size of the total moment = 0.00 μB/f.u.
relative energy among the computed polymorphs = 0.0 meV per atom
formation energy from the elements = 0.141 eV per atom

=====

[4]
Pr2HoIn | GGA-PBE | relaxed

a = 5.0261 Å, b = 4.9345 Å, c = 4.9345 Å
α = 90.00°, β = 90.00°, γ = 90.00°
Atoms (fractional coordinates):
Pr 0.0000 0.0000 0.5000
Pr 0.0000 0.5000 0.0000
Ho 0.5000 0.5000 0.5000
In 0.5000 0.0000 0.0000

Summary:
space-group type = P4/mmm (123)
size of the total moment = 0.00 μB/f.u.
relative energy among the computed polymorphs = 0.0 meV per atom
formation energy from the elements = -0.266 eV per atom